ScPIr: relaxed, PBE.

Cell: 6.497 3.820 11.147 Å, 90.00 90.83 90.00°
Atoms (fractional coordinates):
Sc: 0.020 0.250 0.210
Sc: 0.350 0.750 0.578
Sc: 0.469 0.750 0.882
Sc: 0.531 0.250 0.118
Sc: 0.650 0.250 0.422
Sc: 0.980 0.750 0.790
P: 0.235 0.250 0.416
P: 0.235 0.750 0.083
P: 0.274 0.250 0.751
P: 0.726 0.750 0.249
P: 0.765 0.250 0.917
P: 0.765 0.750 0.584
Ir: 0.018 0.250 0.595
Ir: 0.157 0.250 0.960
Ir: 0.359 0.750 0.294
Ir: 0.641 0.250 0.706
Ir: 0.843 0.750 0.040
Ir: 0.982 0.750 0.405

Results
Space group   P2_1/m
Energy of formation   -1163 meV/atom

=====

CdMoRu2: relaxed, PBE.

Cell: 3.100 3.100 6.684 Å, 90.00 90.00 90.00°
Atoms (fractional coordinates):
Cd: 0.000 0.000 0.000
Mo: 0.000 0.000 0.500
Ru: 0.500 0.500 0.279
Ru: 0.500 0.500 0.721

Results
Space group   P4/mmm
Energy of formation   150 meV/atom

=====

K3Ce2PaAs6: relaxed, PBE.

Cell: 7.579 7.579 7.965 Å, 99.12 99.12 120.00°
Atoms (fractional coordinates):
K: 0.000 0.000 0.000
K: 0.332 0.668 0.000
K: 0.668 0.332 0.000
Ce: 0.167 0.833 0.500
Ce: 0.833 0.167 0.500
Pa: 0.500 0.500 0.500
As: 0.112 0.438 0.313
As: 0.237 0.237 0.687
As: 0.438 0.112 0.313
As: 0.562 0.888 0.687
As: 0.763 0.763 0.313
As: 0.888 0.562 0.687

Results
Space group   C2/m
Energy of formation   -772 meV/atom

=====

LaMn2NiRh: relaxed, PBE.

Cell: 4.747 4.747 4.520 Å, 90.00 90.00 90.00°
Atoms (fractional coordinates):
La: 0.000 0.000 0.000
Mn: 0.000 0.500 0.000
Mn: 0.500 0.000 0.000
Ni: 0.000 0.000 0.500
Rh: 0.500 0.500 0.500

Results
Space group   P4/mmm
Energy of formation   1663 meV/atom

=====

Li5PmPb6: relaxed, PBE.

Cell: 5.182 7.172 8.133 Å, 90.00 105.99 90.00°
Atoms (fractional coordinates):
Li: 0.000 0.000 0.000
Li: 0.285 0.000 0.663
Li: 0.320 0.500 0.676
Li: 0.680 0.500 0.324
Li: 0.715 0.000 0.337
Pm: 0.000 0.500 0.000
Pb: 0.205 0.242 0.350
Pb: 0.205 0.758 0.350
Pb: 0.500 0.224 0.000
Pb: 0.500 0.776 0.000
Pb: 0.795 0.242 0.650
Pb: 0.795 0.758 0.650

Results
Space group   P2/m
Energy of formation   -307 meV/atom

=====

La2NiBr: relaxed, PBE.

Cell: 6.143 4.224 4.224 Å, 90.01 90.00 90.00°
Atoms (fractional coordinates):
La: 0.000 0.000 0.000
La: 0.500 0.499 0.499
Ni: 0.500 0.998 0.998
Br: 0.000 0.500 0.500

Results
Space group   Amm2
Relative energy among the computed polymorphs   130 meV/atom
E_form (uncorrected)   -2.976 eV/f.u.